Record 1
{"formula": "ZnOsPt", "functional": "GGA-PBE", "state": "relaxed", "density_g_cm3": 16.734, "dos_ef_per_ev_atom": 1.13, "total_magnetization_mub_per_atom": 0.000, "polymorph_energy_mev_per_atom": 141, "vol_a3_per_atom": 14.91, "dft_energy_ev_per_atom": -6.017, "lattice_angstrom": [[0.0000, 2.3614, 6.8907], [1.3743, 0.0000, 6.8907], [1.3743, 2.3614, 0.0000]], "species": ["Zn", "Os", "Pt"], "fractional_positions": [[0.0000, 0.0000, 0.0000], [0.6626, 0.6626, 0.3374], [0.3378, 0.3378, 0.6622]]}


Record 2
{"formula": "KLa2TiSn", "functional": "GGA-PBE", "state": "relaxed", "density_g_cm3": 4.869, "dos_ef_per_ev_atom": 1.53, "total_magnetization_mub_per_atom": 0.000, "vol_a3_per_atom": 32.98, "dft_energy_ev_per_atom": -3.278, "lattice_angstrom": [[5.4059, 0.0000, 0.0000], [0.0000, 5.4059, 0.0000], [0.0000, 0.0000, 5.6419]], "species": ["K", "La", "La", "Ti", "Sn"], "fractional_positions": [[0.0000, 0.0000, 0.0000], [0.0000, 0.5000, 0.0000], [0.5000, 0.0000, 0.0000], [0.5000, 0.5000, 0.5000], [0.0000, 0.0000, 0.5000]]}